First-principles (PBE) data for a relaxed NdGeHRh2 crystal, as listed in the Alexandria database.

Structure (POSCAR):
```
NdGeHRh2
1.0
1.9477 -5.4657 0.0000
1.9477 5.4657 0.0000
0.0000 0.0000 7.3123
Nd Ge H Rh
2 2 2 4
direct
0.0568 0.9432 0.7500
0.9432 0.0568 0.2500
0.2237 0.7763 0.2500
0.7763 0.2237 0.7500
0.5000 0.5000 0.0000
0.5000 0.5000 0.5000
0.3433 0.6567 0.5530
0.3433 0.6567 0.9470
0.6567 0.3433 0.0530
0.6567 0.3433 0.4470
```

First-principles (PBE) data for a relaxed NdGe2HRu2 crystal, as listed in the Alexandria database.

Structure (POSCAR):
```
NdGe2HRu2
1.0
4.1625 0.0000 0.0000
0.0000 4.1625 0.0000
0.0000 0.0000 5.3426
Nd Ge H Ru
1 2 1 2
direct
0.0000 0.0000 0.0000
0.5000 0.5000 0.2360
0.5000 0.5000 0.7640
0.0000 0.0000 0.5000
0.0000 0.5000 0.5000
0.5000 0.0000 0.5000
```

First-principles (PBE) data for a relaxed NdGeHRu2 crystal, as listed in the Alexandria database.

Structure (POSCAR):
```
NdGeHRu2
1.0
1.8688 -5.5256 0.0000
1.8688 5.5256 0.0000
0.0000 0.0000 7.5176
Nd Ge H Ru
2 2 2 4
direct
0.0503 0.9497 0.7500
0.9497 0.0503 0.2500
0.2274 0.7726 0.2500
0.7726 0.2274 0.7500
0.5000 0.5000 0.0000
0.5000 0.5000 0.5000
0.3413 0.6587 0.5498
0.3413 0.6587 0.9502
0.6587 0.3413 0.0498
0.6587 0.3413 0.4502
```

First-principles (PBE) data for a relaxed Nd2Ge2HRu2 crystal, as listed in the Alexandria database.

Structure (POSCAR):
```
Nd2Ge2HRu2
1.0
-2.0909 2.0909 7.3393
2.0909 -2.0909 7.3393
2.0909 2.0909 -7.3393
Nd Ge H Ru
2 2 1 2
direct
0.1589 0.1589 0.0000
0.8411 0.8411 0.0000
0.3949 0.3949 0.0000
0.6051 0.6051 0.0000
0.0000 0.0000 0.0000
0.0000 0.5000 0.5000
0.5000 0.0000 0.5000
```

First-principles (PBE) data for a relaxed Nd4GeHS2 crystal, as listed in the Alexandria database.

Structure (POSCAR):
```
Nd4GeHS2
1.0
0.0000 5.7955 4.1010
4.0775 0.0000 4.1010
4.0775 5.7955 0.0000
Nd Ge H S
4 1 1 2
direct
0.0223 0.4956 0.9777
0.2489 0.7511 0.2489
0.4956 0.0223 0.5044
0.7511 0.2489 0.7511
0.9945 0.9945 0.0055
0.4614 0.4614 0.5386
0.2507 0.2507 0.2493
0.7507 0.7507 0.7493
```

First-principles (PBE) data for a relaxed NdScGeH crystal, as listed in the Alexandria database.

Structure (POSCAR):
```
NdScGeH
1.0
4.2838 0.0000 0.0000
0.0000 4.2838 0.0000
0.0000 0.0000 8.2746
Nd Sc Ge H
2 2 2 2
direct
0.2500 0.2500 0.1366
0.7500 0.7500 0.8634
0.2500 0.7500 0.5000
0.7500 0.2500 0.5000
0.2500 0.2500 0.7184
0.7500 0.7500 0.2816
0.2500 0.7500 0.0000
0.7500 0.2500 0.0000
```

First-principles (PBE) data for a relaxed NdSmGeH crystal, as listed in the Alexandria database.

Structure (POSCAR):
```
NdSmGeH
1.0
4.3787 0.0000 0.0000
0.0000 4.3787 0.0000
0.0000 0.0000 8.7503
Nd Sm Ge H
2 2 2 2
direct
0.2500 0.2500 0.1220
0.7500 0.7500 0.8780
0.2500 0.7500 0.5000
0.7500 0.2500 0.5000
0.2500 0.2500 0.7447
0.7500 0.7500 0.2553
0.2500 0.7500 0.0000
0.7500 0.2500 0.0000
```

First-principles (PBE) data for a relaxed Nd2Sm4Ge3H2 crystal, as listed in the Alexandria database.

Structure (POSCAR):
```
Nd2Sm4Ge3H2
1.0
-2.3257 2.3257 12.1129
2.3257 -2.3257 12.1129
2.3257 2.3257 -12.1129
Nd Sm Ge H
2 4 3 2
direct
0.2021 0.2021 0.0000
0.7979 0.7979 0.0000
0.0801 0.5801 0.5000
0.4199 0.9199 0.5000
0.5801 0.0801 0.5000
0.9199 0.4199 0.5000
0.3289 0.3289 0.0000
0.5000 0.5000 0.0000
0.6711 0.6711 0.0000
0.0999 0.0999 0.0000
0.9001 0.9001 0.0000
```

One value per record, in order, for energy: -6.2161 -6.5191 -6.6009 -6.4379 -5.7016 -5.4929 -4.9546 -5.0391 eV/atom.